Density functional theory data (PBE) for La2Ga5Au after structural relaxation.

Unit cell a=6.420 b=6.420 c=6.420 alpha=88.11 beta=121.10 gamma=121.10
Sites, in units of the cell vectors:
Ga1 0.000 0.270 0.270
Ga2 0.000 0.704 0.289
Au1 0.000 0.966 0.966
Ga3 0.000 0.289 0.704
La1 0.500 0.250 0.750
Ga4 0.416 0.704 0.704
La2 0.500 0.750 0.250
Ga5 0.584 0.289 0.289

V ... 183.91 Å³/cell
Space group ... I4mm
ΔH_f (0 K) ... -12.358 kcal/mol of atoms